(1)
The following is a DFT calculation (PBE-GGA) of a relaxed structure of La2TaCl.

Summary:
Energy relative to the elements, uncorrected in kcal/mol of atoms: 4.0
Total magnetic moment in Bohr magnetons per cell: 2.19
Space-group type: Fm-3m (225)

Cell lengths 5.337, 5.337, 5.337 Å; angles 60.00, 60.00, 60.00 degrees
Each line ends with the local moment (μB).
Sites, in units of the cell vectors:
Cl1 0.000 0.000 0.000  0.06
La1 0.250 0.250 0.250  0.11
La2 0.750 0.750 0.750  0.11
Ta1 0.500 0.500 0.500  1.21



(2)
The following is a DFT calculation (PBE-GGA) of a relaxed structure of LaTaCl2.

Summary:
Energy relative to the elements, uncorrected in kcal/mol of atoms: -7.7
Total magnetic moment in Bohr magnetons per cell: 2.64
Space-group type: I-42d (122)

Cell lengths 4.746, 4.746, 9.347 Å; angles 75.29, 75.29, 90.00 degrees
Each line ends with the local moment (μB).
Sites, in units of the cell vectors:
Cl1 0.674 0.125 0.250  -0.01
Cl2 0.076 0.625 0.250  0.00
Cl3 0.375 0.326 0.750  -0.01
Cl4 0.875 0.924 0.750  0.00
La1 0.500 0.500 0.000  0.08
La2 0.250 0.750 0.500  0.08
Ta1 0.000 0.000 0.000  0.75
Ta2 0.750 0.250 0.500  0.74



(3)
The following is a DFT calculation (PBE-GGA) of a relaxed structure of La2TaCl.

Summary:
Energy relative to the elements, uncorrected in kcal/mol of atoms: -5.6
Total magnetic moment in Bohr magnetons per cell: 0.00
Space-group type: C2/m (12)

Cell lengths 7.814, 5.724, 3.421 Å; angles 77.11, 83.63, 130.50 degrees
Sites, in units of the cell vectors:
Cl1 0.500 0.500 0.000
La1 0.000 0.000 0.000
La2 0.500 0.000 0.500
Ta1 0.000 0.500 0.500



(4)
The following is a DFT calculation (PBE-GGA) of a relaxed structure of LaTaCl2.

Summary:
Energy relative to the elements, uncorrected in kcal/mol of atoms: -9.4
Total magnetic moment in Bohr magnetons per cell: 0.46
Space-group type: P2/m (10)

Cell lengths 3.272, 5.794, 5.952 Å; angles 49.52, 90.00, 90.00 degrees
Each line ends with the local moment (μB).
Sites, in units of the cell vectors:
Cl1 0.000 0.000 0.000  -0.01
Cl2 0.500 0.500 0.000  -0.01
La1 0.500 0.500 0.500  0.01
Ta1 0.000 0.000 0.500  0.30



(5)
The following is a DFT calculation (PBE-GGA) of a relaxed structure of LaTaCl2.

Summary:
Energy relative to the elements, uncorrected in kcal/mol of atoms: -8.1
Total magnetic moment in Bohr magnetons per cell: 0.15
Space-group type: Cmmm (65)

Cell lengths 3.411, 3.411, 9.241 Å; angles 90.00, 90.00, 125.24 degrees
Each line ends with the local moment (μB).
Sites, in units of the cell vectors:
Cl1 0.000 0.000 0.973  0.00
Cl2 0.000 0.000 0.527  0.00
La1 0.500 0.500 0.250  0.02
Ta1 0.500 0.500 0.750  -0.13



(6)
The following is a DFT calculation (PBE-GGA) of a relaxed structure of LaTa2Cl2.

Summary:
Energy relative to the elements, uncorrected in kcal/mol of atoms: 7.5
Total magnetic moment in Bohr magnetons per cell: 0.00
Space-group type: P4/mbm (127)

Cell lengths 8.399, 8.399, 3.084 Å; angles 90.00, 90.00, 90.00 degrees
Sites, in units of the cell vectors:
Cl1 0.281 0.781 0.000
Cl2 0.781 0.719 0.000
Cl3 0.719 0.219 0.000
Cl4 0.219 0.281 0.000
La1 0.000 0.000 0.000
La2 0.500 0.500 0.000
Ta1 0.113 0.613 0.500
Ta2 0.613 0.887 0.500
Ta3 0.887 0.387 0.500
Ta4 0.387 0.113 0.500



(7)
The following is a DFT calculation (PBE-GGA) of a relaxed structure of La2TaCl.

Summary:
Energy relative to the elements, uncorrected in kcal/mol of atoms: -9.1
Total magnetic moment in Bohr magnetons per cell: 0.00
Space-group type: P4/mmm (123)

Cell lengths 3.400, 3.400, 9.132 Å; angles 90.00, 90.00, 90.00 degrees
Sites, in units of the cell vectors:
Cl1 0.500 0.500 0.750
La1 0.000 0.000 0.008
La2 0.000 0.000 0.492
Ta1 0.500 0.500 0.250



(8)
The following is a DFT calculation (PBE-GGA) of a relaxed structure of La2TaCl.

Summary:
Energy relative to the elements, uncorrected in kcal/mol of atoms: 3.7
Total magnetic moment in Bohr magnetons per cell: 1.47
Space-group type: I-4m2 (119)

Cell lengths 6.652, 6.652, 6.652 Å; angles 142.76, 142.76, 53.69 degrees
Each line ends with the local moment (μB).
Sites, in units of the cell vectors:
Cl1 0.250 0.750 0.500  0.01
La1 0.000 0.000 0.000  0.12
La2 0.750 0.250 0.500  0.07
Ta1 0.500 0.500 0.000  0.70